No. 1
Here is RbCoN3 at its PBEsol-relaxed geometry from the Alexandria database. Energies are from meta-GGA SCAN.

Computed properties:
- Formation energy without anion corrections: 3.6533 eV per atom

Cell: 4.3809 4.3809 4.3809 Å, 90.00 90.00 90.00°
Space group Pm-3m (No. 221)
Asymmetric unit:
Rb  0.0000  0.0000  0.0000 [1 per cell]
Co  0.5000  0.5000  0.5000 [1 per cell]
N  0.0000  0.0000  0.5000 [3 per cell]

=====

No. 2
Here is RbNaS2 at its PBEsol-relaxed geometry from the Alexandria database. Energies are from meta-GGA SCAN.

Computed properties:
- Formation energy without anion corrections: -0.8036 eV per atom

Cell: 5.0049 5.0049 18.0685 Å, 90.00 90.00 90.00°
Space group I-42d (No. 122)
Asymmetric unit:
Rb  0.0000  0.0000  0.0000 [4 per cell]
Na  0.0000  0.0000  0.5000 [4 per cell]
S  0.0565  0.2500  0.6250 [8 per cell]

=====

No. 3
Here is Tl2MoAu at its PBEsol-relaxed geometry from the Alexandria database. Energies are from meta-GGA SCAN.

Computed properties:
- Relative energy among the computed polymorphs: 0.000 eV/atom
- Formation energy: 0.549 eV per atom

Cell: 6.2011 8.1553 3.0585 Å, 90.00 90.00 90.00°
Space group Cmmm (No. 65)
Asymmetric unit:
Tl  0.2500  0.2500  0.0000 [4 per cell]
Mo  0.0000  0.0000  0.5000 [2 per cell]
Au  0.0000  0.5000  0.5000 [2 per cell]

=====

No. 4
Here is NbFeSb2I at its PBEsol-relaxed geometry from the Alexandria database. Energies are from meta-GGA SCAN.

Computed properties:
- Formation energy without anion corrections: 0.9212 eV per atom

Cell: 4.7524 4.7524 5.3136 Å, 90.00 90.00 90.00°
Space group P4/mmm (No. 123)
Asymmetric unit:
Nb  0.0000  0.0000  0.0000 [1 per cell]
Fe  0.5000  0.5000  0.5000 [1 per cell]
Sb  0.0000  0.5000  0.5000 [2 per cell]
I  0.5000  0.5000  0.0000 [1 per cell]

=====

No. 5
Here is BaSbAu at its PBEsol-relaxed geometry from the Alexandria database. Energies are from meta-GGA SCAN.

Computed properties:
- Formation energy without anion corrections: -0.3158 eV per atom

Cell: 5.5373 5.5373 6.7321 Å, 90.00 90.00 120.00°
Space group P6_3/mmc (No. 194)
Asymmetric unit:
Ba  0.3333  0.6667  0.2500 [2 per cell]
Sb  0.3333  0.6667  0.7500 [2 per cell]
Au  0.0000  0.0000  0.0000 [2 per cell]

=====

No. 6
Here is BeCr2Br at its PBEsol-relaxed geometry from the Alexandria database. Energies are from meta-GGA SCAN.

Computed properties:
- Relative energy among the computed polymorphs: 0.000 eV/atom
- Formation energy without anion corrections: 0.5728 eV per atom

Cell: 7.1218 3.1934 6.1833 Å, 90.00 116.05 90.00°
Space group C2/m (No. 12)
Asymmetric unit:
Be  0.0000  0.0000  0.0000 [2 per cell]
Cr  0.1486  0.5000  0.8866 [4 per cell]
Br  0.0000  0.0000  0.5000 [2 per cell]

=====

No. 7
Here is InFe3Ru at its PBEsol-relaxed geometry from the Alexandria database. Energies are from meta-GGA SCAN.

Computed properties:
- Formation energy: 1.891 eV per atom

Cell: 4.5706 4.5706 4.5706 Å, 90.00 90.00 90.00°
Space group Pm-3m (No. 221)
Asymmetric unit:
In  0.0000  0.0000  0.0000 [1 per cell]
Fe  0.0000  0.0000  0.5000 [3 per cell]
Ru  0.5000  0.5000  0.5000 [1 per cell]

=====

No. 8
Here is MgTl2Ag2 at its PBEsol-relaxed geometry from the Alexandria database. Energies are from meta-GGA SCAN.

Computed properties:
- Formation energy: 0.124 eV per atom

Cell: 3.7782 3.7782 16.2694 Å, 90.00 90.00 90.00°
Space group I4/mmm (No. 139)
Asymmetric unit:
Mg  0.0000  0.0000  0.0000 [2 per cell]
Tl  0.0000  0.0000  0.3943 [4 per cell]
Ag  0.0000  0.5000  0.2500 [4 per cell]

=====

No. 9
Here is K2FeO4 at its PBEsol-relaxed geometry from the Alexandria database. Energies are from meta-GGA SCAN.

Computed properties:
- Formation energy without anion corrections: -1.6039 eV per atom

Cell: 7.6138 5.7796 10.2519 Å, 90.00 90.00 90.00°
Space group Pnma (No. 62)
Asymmetric unit:
K  0.0140  0.2500  0.1949 [4 per cell]
K  0.1612  0.7500  0.4141 [4 per cell]
Fe  0.2297  0.7500  0.0781 [4 per cell]
O  0.0147  0.7500  0.0840 [4 per cell]
O  0.1918  0.0180  0.6505 [8 per cell]
O  0.1998  0.2500  0.4258 [4 per cell]

=====

No. 10
Here is VTe2 at its PBEsol-relaxed geometry from the Alexandria database. Energies are from meta-GGA SCAN.

Computed properties:
- Formation energy without anion corrections: -0.3560 eV per atom

Cell: 3.5587 3.5587 6.4608 Å, 90.00 90.00 120.00°
Space group P-3m1 (No. 164)
Asymmetric unit:
V  0.0000  0.0000  0.0000 [1 per cell]
Te  0.3333  0.6667  0.2630 [2 per cell]

=====

No. 11
Here is RbNa2Cd2 at its PBEsol-relaxed geometry from the Alexandria database. Energies are from meta-GGA SCAN.

Computed properties:
- Relative energy among the computed polymorphs: 0.007 eV/atom
- Formation energy: -0.032 eV per atom

Cell: 9.4698 9.4698 3.5128 Å, 90.00 90.00 90.00°
Space group P4/mbm (No. 127)
Asymmetric unit:
Rb  0.0000  0.0000  0.0000 [2 per cell]
Na  0.1760  0.3240  0.5000 [4 per cell]
Cd  0.1107  0.6107  0.0000 [4 per cell]

=====

No. 12
Here is Ir2AuSe at its PBEsol-relaxed geometry from the Alexandria database. Energies are from meta-GGA SCAN.

Computed properties:
- Formation energy without anion corrections: 0.5262 eV per atom

Cell: 2.7969 4.6748 9.7437 Å, 90.00 90.00 90.00°
Space group Imm2 (No. 44)
Asymmetric unit:
Ir  0.0000  0.0000  0.0000 [2 per cell]
Ir  0.0000  0.5000  0.2684 [2 per cell]
Au  0.0000  0.0000  0.5046 [2 per cell]
Se  0.0000  0.5000  0.7205 [2 per cell]

=====

No. 13
Here is CsRbTl2 at its PBEsol-relaxed geometry from the Alexandria database. Energies are from meta-GGA SCAN.

Computed properties:
- Formation energy: 0.006 eV per atom

Cell: 8.7364 8.7364 8.7364 Å, 90.00 90.00 90.00°
Space group Fm-3m (No. 225)
Asymmetric unit:
Cs  0.0000  0.0000  0.0000 [4 per cell]
Rb  0.0000  0.0000  0.5000 [4 per cell]
Tl  0.2500  0.2500  0.2500 [8 per cell]

=====

No. 14
Here is Mn2AsIr at its PBEsol-relaxed geometry from the Alexandria database. Energies are from meta-GGA SCAN.

Computed properties:
- Formation energy: -0.106 eV per atom

Cell: 2.9707 2.9707 5.8200 Å, 90.00 90.00 90.00°
Space group P4mm (No. 99)
Asymmetric unit:
Mn  0.0000  0.0000  0.0000 [1 per cell]
Mn  0.5000  0.5000  0.2413 [1 per cell]
As  0.0000  0.0000  0.4504 [1 per cell]
Ir  0.5000  0.5000  0.7437 [1 per cell]

=====

No. 15
Here is BeNi2Au at its PBEsol-relaxed geometry from the Alexandria database. Energies are from meta-GGA SCAN.

Computed properties:
- Formation energy: 0.003 eV per atom

Cell: 2.6439 2.6439 23.1138 Å, 90.00 90.00 120.00°
Space group R-3m (No. 166, hexagonal axes)
Asymmetric unit:
Be  0.0000  0.0000  0.0000 [3 per cell]
Ni  0.0000  0.0000  0.2634 [6 per cell]
Au  0.0000  0.0000  0.5000 [3 per cell]

=====

No. 16
Here is HgIr3 at its PBEsol-relaxed geometry from the Alexandria database. Energies are from meta-GGA SCAN.

Computed properties:
- Formation energy: 0.783 eV per atom

Cell: 6.2907 6.2907 6.2907 Å, 90.00 90.00 90.00°
Space group Fm-3m (No. 225)
Asymmetric unit:
Hg  0.0000  0.0000  0.0000 [4 per cell]
Ir  0.0000  0.0000  0.5000 [4 per cell]
Ir  0.2500  0.2500  0.2500 [8 per cell]

=====

No. 17
Here is EuTiAgO4 at its PBEsol-relaxed geometry from the Alexandria database. Energies are from meta-GGA SCAN.

Computed properties:
- Formation energy without anion corrections: -2.5145 eV per atom

Cell: 13.3103 5.1694 5.1397 Å, 90.00 90.00 90.00°
Space group Pbcm (No. 57)
Asymmetric unit:
Eu  0.1032  0.0095  0.2500 [4 per cell]
Ti  0.2670  0.5046  0.2500 [4 per cell]
Ag  0.4268  0.0001  0.2500 [4 per cell]
O  0.0663  0.0257  0.7500 [4 per cell]
O  0.2199  0.7500  0.0000 [4 per cell]
O  0.2301  0.2500  0.0000 [4 per cell]
O  0.4015  0.5196  0.2500 [4 per cell]

=====

No. 18
Here is BaZn2Ag2 at its PBEsol-relaxed geometry from the Alexandria database. Energies are from meta-GGA SCAN.

Computed properties:
- Formation energy: -0.172 eV per atom

Cell: 4.6742 4.6742 10.3139 Å, 90.00 90.00 90.00°
Space group I4/mmm (No. 139)
Asymmetric unit:
Ba  0.0000  0.0000  0.0000 [2 per cell]
Zn  0.0000  0.5000  0.2500 [4 per cell]
Ag  0.0000  0.0000  0.3663 [4 per cell]

=====

No. 19
Here is Cd2NiHPb at its PBEsol-relaxed geometry from the Alexandria database. Energies are from meta-GGA SCAN.

Computed properties:
- Final energy: -30.206 eV/atom

Cell: 5.5977 5.5977 4.8483 Å, 90.00 90.00 90.00°
Space group P4/mmm (No. 123)
Asymmetric unit:
Cd  0.0000  0.5000  0.0000 [2 per cell]
Ni  0.0000  0.0000  0.5000 [1 per cell]
H  0.5000  0.5000  0.5000 [1 per cell]
Pb  0.0000  0.0000  0.0000 [1 per cell]

=====

No. 20
Here is LaMgCl2 at its PBEsol-relaxed geometry from the Alexandria database. Energies are from meta-GGA SCAN.

Computed properties:
- Relative energy among the computed polymorphs: 0.078 eV/atom
- Formation energy without anion corrections: -1.2600 eV per atom

Cell: 4.6650 4.6650 8.4400 Å, 90.00 90.00 90.00°
Space group I4/mmm (No. 139)
Asymmetric unit:
La  0.0000  0.0000  0.0000 [2 per cell]
Mg  0.0000  0.0000  0.5000 [2 per cell]
Cl  0.0000  0.5000  0.2500 [4 per cell]

=====

No. 21
Here is AlPBr4 at its PBEsol-relaxed geometry from the Alexandria database. Energies are from meta-GGA SCAN.

Computed properties:
- Formation energy without anion corrections: 0.9467 eV per atom

Cell: 8.6809 8.6809 8.6809 Å, 90.00 90.00 90.00°
Space group F-43m (No. 216)
Asymmetric unit:
Al  0.0000  0.0000  0.0000 [4 per cell]
P  0.2500  0.2500  0.2500 [4 per cell]
Br  0.1247  0.1247  0.6247 [16 per cell]

=====

No. 22
Here is SiRh2W at its PBEsol-relaxed geometry from the Alexandria database. Energies are from meta-GGA SCAN.

Computed properties:
- Formation energy without anion corrections: -0.1304 eV per atom

Cell: 3.8003 3.8003 3.8097 Å, 90.00 90.00 90.00°
Space group P4/mmm (No. 123)
Asymmetric unit:
Si  0.0000  0.0000  0.0000 [1 per cell]
Rh  0.0000  0.5000  0.5000 [2 per cell]
W  0.5000  0.5000  0.0000 [1 per cell]

=====

No. 23
Here is BaLi2In at its PBEsol-relaxed geometry from the Alexandria database. Energies are from meta-GGA SCAN.

Computed properties:
- Formation energy: -0.147 eV per atom

Cell: 3.6919 3.6919 7.9287 Å, 90.00 90.00 90.00°
Space group P4/mmm (No. 123)
Asymmetric unit:
Ba  0.0000  0.0000  0.0000 [1 per cell]
Li  0.5000  0.5000  0.3240 [2 per cell]
In  0.0000  0.0000  0.5000 [1 per cell]

=====

No. 24
Here is RbTi2GaS at its PBEsol-relaxed geometry from the Alexandria database. Energies are from meta-GGA SCAN.

Computed properties:
- Formation energy without anion corrections: 0.3166 eV per atom

Cell: 4.6191 4.6191 5.5972 Å, 90.00 90.00 90.00°
Space group P4/mmm (No. 123)
Asymmetric unit:
Rb  0.0000  0.0000  0.0000 [1 per cell]
Ti  0.0000  0.5000  0.5000 [2 per cell]
Ga  0.5000  0.5000  0.0000 [1 per cell]
S  0.5000  0.5000  0.5000 [1 per cell]

=====

No. 25
Here is Tm2InNi2 at its PBEsol-relaxed geometry from the Alexandria database. Energies are from meta-GGA SCAN.

Computed properties:
- Formation energy: -0.618 eV per atom

Cell: 3.8629 13.9107 3.5082 Å, 90.00 90.00 90.00°
Space group Cmmm (No. 65)
Asymmetric unit:
Tm  0.0000  0.1395  0.0000 [4 per cell]
In  0.0000  0.5000  0.5000 [2 per cell]
Ni  0.0000  0.3016  0.5000 [4 per cell]